A plane-wave DFT calculation with PBEsol was carried out for an optimized crystal structure of KNa2AlH6.

POSCAR file:
```
KNa2AlH6
1.0
-2.562 2.460 4.195
-4.765 -0.296 -2.736
-1.422 -6.952 3.229
K H Na Al
2 12 4 2
direct
0.755 0.989 0.498 K
0.245 0.489 0.502 K
0.991 0.197 0.738 H
0.009 0.697 0.262 H
0.715 0.506 0.463 H
0.822 0.483 0.018 H
0.508 0.306 0.210 H
0.953 0.249 0.265 H
0.431 0.255 0.793 H
0.047 0.749 0.735 H
0.569 0.755 0.207 H
0.178 0.983 0.982 H
0.492 0.806 0.790 H
0.286 0.006 0.537 H
0.755 0.023 0.000 Na
0.741 0.502 0.754 Na
0.245 0.523 0.000 Na
0.259 0.002 0.246 Na
0.762 0.500 0.236 Al
0.238 0.000 0.764 Al
```

Calculated values
- SG = P2_1
- final energy (eV for the cell shown) = -59.55



A plane-wave DFT calculation with PBEsol was carried out for an optimized crystal structure of Ta4ZnCl.

POSCAR file:
```
Ta4ZnCl
1.0
-0.569 1.222 -5.273
3.174 -2.407 -3.709
-2.115 -3.660 -3.429
Cl Ta Zn
1 4 1
direct
0.000 0.000 0.000 Cl
0.377 0.377 0.377 Ta
0.870 0.377 0.377 Ta
0.377 0.377 0.870 Ta
0.377 0.870 0.377 Ta
0.750 0.750 0.750 Zn
```

Calculated values
- SG = F-43m
- energy relative to the elements, uncorrected (kJ per mole of atoms) = 80.8



Number 1: density 1.7 Mg/m³. Number 2: density 12.0 Mg/m³.